Entry 1
VASP calculation (PBE) on HgBi5 after structural relaxation.

The value obtained for the mass density is 10.98 g/cm3. The calculation puts the density of states at the Fermi level at 3.77 states/eV/f.u. For the calculated volume, the calculation gives 377 Å³/cell.

Lattice parameters (Å, degrees): 5.199 17.105 4.238 90.00 90.00 90.00
Space group Cmmm (No. 65)
Inequivalent atoms, fractional coordinates:
Hg  0.000  0.000  0.000 (multiplicity 2)
Bi  0.000  0.185  0.500 (multiplicity 4)
Bi  0.000  0.349  0.000 (multiplicity 4)
Bi  0.000  0.500  0.500 (multiplicity 2)

Entry 2
VASP calculation (PBE) on HgBi5 after structural relaxation.

The value obtained for the mass density is 9.97 g/cm3. The calculation puts the density of states at the Fermi level at 2.05 states/eV/f.u. For the calculated volume, the calculation gives 208 Å³/cell.

Lattice parameters (Å, degrees): 4.690 6.588 7.158 96.54 109.07 90.04
Space group P1 (No. 1)
Inequivalent atoms, fractional coordinates:
Hg  0.000  0.000  0.000 (multiplicity 1)
Bi  0.325  0.035  0.654 (multiplicity 1)
Bi  0.330  0.507  0.668 (multiplicity 1)
Bi  0.667  0.493  0.332 (multiplicity 1)
Bi  0.673  0.965  0.345 (multiplicity 1)
Bi  0.998  0.500  0.999 (multiplicity 1)

Most stable to least stable: entry 2, entry 1

Entry 1
VASP calculation (PBE) on HgBi2 after structural relaxation.

The value obtained for the mass density is 10.53 g/cm3. The calculation puts the density of states at the Fermi level at 0.97 states/eV/f.u. For the calculated volume, the calculation gives 195 Å³/cell.

Lattice parameters (Å, degrees): 3.291 6.526 9.232 86.34 80.56 89.93
Space group P1 (No. 1)
Inequivalent atoms, fractional coordinates:
Hg  0.000  0.000  0.000 (multiplicity 1)
Hg  0.500  0.500  0.000 (multiplicity 1)
Bi  0.026  0.241  0.670 (multiplicity 1)
Bi  0.173  0.263  0.328 (multiplicity 1)
Bi  0.831  0.739  0.672 (multiplicity 1)
Bi  0.978  0.762  0.330 (multiplicity 1)

Entry 2
VASP calculation (PBE) on HgBi2 after structural relaxation.

The value obtained for the mass density is 11.09 g/cm3. The calculation puts the density of states at the Fermi level at 1.65 states/eV/f.u. For the calculated volume, the calculation gives 185 Å³/cell.

Lattice parameters (Å, degrees): 4.293 4.293 10.056 90.00 90.00 90.00
Space group I4/mmm (No. 139)
Inequivalent atoms, fractional coordinates:
Hg  0.000  0.000  0.000 (multiplicity 2)
Bi  0.000  0.000  0.317 (multiplicity 4)

Most stable to least stable: entry 1, entry 2

Entry 1
VASP calculation (PBE) on Ho2HgBi after structural relaxation.

The value obtained for the mass density is 11.26 g/cm3. The calculation puts the density of states at the Fermi level at 4.77 states/eV/f.u. For the calculated volume, the calculation gives 436 Å³/cell.

Lattice parameters (Å, degrees): 7.585 7.585 7.585 90.00 90.00 90.00
Space group Fm-3m (No. 225)
Inequivalent atoms, fractional coordinates:
Ho  0.250  0.250  0.250 (multiplicity 8)
Hg  0.000  0.000  0.000 (multiplicity 4)
Bi  0.000  0.000  0.500 (multiplicity 4)

Entry 2
VASP calculation (PBE) on Ho2HgBi after structural relaxation.

The value obtained for the mass density is 11.33 g/cm3. The calculation puts the density of states at the Fermi level at 2.49 states/eV/f.u. For the calculated volume, the calculation gives 108 Å³/cell.

Lattice parameters (Å, degrees): 3.963 3.963 6.900 90.00 90.00 90.00
Space group P4/mmm (No. 123)
Inequivalent atoms, fractional coordinates:
Ho  0.000  0.000  0.249 (multiplicity 2)
Hg  0.500  0.500  0.000 (multiplicity 1)
Bi  0.500  0.500  0.500 (multiplicity 1)

Most stable to least stable: entry 2, entry 1

Entry 1
VASP calculation (PBE) on Hg2Bi2I after structural relaxation.

The value obtained for the mass density is 10.09 g/cm3. The calculation puts the density of states at the Fermi level at 2.54 states/eV/f.u. For the calculated volume, the calculation gives 311 Å³/cell.

Lattice parameters (Å, degrees): 8.848 8.848 3.978 90.00 90.00 90.00
Space group P4/mbm (No. 127)
Inequivalent atoms, fractional coordinates:
Hg  0.167  0.333  0.000 (multiplicity 4)
Bi  0.133  0.633  0.500 (multiplicity 4)
I  0.000  0.000  0.500 (multiplicity 2)

Entry 2
VASP calculation (PBE) on Hg2Bi2I after structural relaxation.

The value obtained for the mass density is 9.78 g/cm3. The calculation puts the density of states at the Fermi level at 3.53 states/eV/f.u. For the calculated volume, the calculation gives 321 Å³/cell.

Lattice parameters (Å, degrees): 4.667 4.667 14.752 90.00 90.00 90.00
Space group I4/mmm (No. 139)
Inequivalent atoms, fractional coordinates:
Hg  0.000  0.500  0.250 (multiplicity 4)
Bi  0.000  0.000  0.112 (multiplicity 4)
I  0.000  0.000  0.500 (multiplicity 2)

Most stable to least stable: entry 1, entry 2

Entry 1
VASP calculation (PBE) on HgBiI2 after structural relaxation.

The value obtained for the mass density is 4.84 g/cm3. The calculation puts the density of states at the Fermi level at 1.78 states/eV/f.u. For the calculated volume, the calculation gives 455 Å³/cell.

Lattice parameters (Å, degrees): 8.627 8.659 6.091 90.00 90.23 90.00
Space group C2 (No. 5)
Inequivalent atoms, fractional coordinates:
Hg  0.000  0.000  0.000 (multiplicity 2)
Bi  0.000  0.999  0.500 (multiplicity 2)
I  0.249  0.251  0.391 (multiplicity 4)

Entry 2
VASP calculation (PBE) on HgBiI2 after structural relaxation.

The value obtained for the mass density is 8.43 g/cm3. The calculation puts the density of states at the Fermi level at 3.09 states/eV/f.u. For the calculated volume, the calculation gives 523 Å³/cell.

Lattice parameters (Å, degrees): 8.057 8.057 8.057 90.00 90.00 90.00
Space group Fm-3m (No. 225)
Inequivalent atoms, fractional coordinates:
Hg  0.000  0.000  0.000 (multiplicity 4)
Bi  0.000  0.000  0.500 (multiplicity 4)
I  0.250  0.250  0.250 (multiplicity 8)

Entry 3
VASP calculation (PBE) on HgBiI2 after structural relaxation.

The value obtained for the mass density is 6.05 g/cm3. The calculation puts the density of states at the Fermi level at 2.12 states/eV/f.u. For the calculated volume, the calculation gives 364 Å³/cell.

Lattice parameters (Å, degrees): 4.198 5.354 17.619 90.17 90.05 113.06
Space group P-1 (No. 2)
Inequivalent atoms, fractional coordinates:
Hg  0.119  0.239  0.231 (multiplicity 2)
Bi  0.398  0.798  0.287 (multiplicity 2)
I  0.192  0.384  0.588 (multiplicity 2)
I  0.499  0.997  0.886 (multiplicity 2)

Most stable to least stable: entry 1, entry 3, entry 2

Entry 1
VASP calculation (PBE) on Hg3BiI2 after structural relaxation.

The value obtained for the mass density is 7.31 g/cm3. The calculation puts the density of states at the Fermi level at 0.94 states/eV/f.u. For the calculated volume, the calculation gives 968 Å³/cell.

Lattice parameters (Å, degrees): 13.068 8.193 9.038 90.00 90.00 90.00
Space group Cmcm (No. 63)
Inequivalent atoms, fractional coordinates:
Hg  0.000  0.161  0.250 (multiplicity 4)
Hg  0.156  0.500  0.000 (multiplicity 8)
Bi  0.000  0.493  0.750 (multiplicity 4)
I  0.165  0.090  0.750 (multiplicity 8)

Entry 2
VASP calculation (PBE) on Hg3BiI2 after structural relaxation.

The value obtained for the mass density is 7.51 g/cm3. The calculation puts the density of states at the Fermi level at 2.61 states/eV/f.u. For the calculated volume, the calculation gives 942 Å³/cell.

Lattice parameters (Å, degrees): 9.468 11.525 8.632 90.00 90.00 90.00
Space group Cmc2_1 (No. 36)
Inequivalent atoms, fractional coordinates:
Hg  0.000  0.018  0.000 (multiplicity 4)
Hg  0.194  0.466  0.503 (multiplicity 8)
Bi  0.000  0.333  0.004 (multiplicity 4)
I  0.249  0.249  0.253 (multiplicity 8)

Most stable to least stable: entry 1, entry 2

Entry 1
VASP calculation (PBE) on Hg4BiI2 after structural relaxation.

The value obtained for the mass density is 7.41 g/cm3. The calculation puts the density of states at the Fermi level at 1.67 states/eV/f.u. For the calculated volume, the calculation gives 567 Å³/cell.

Lattice parameters (Å, degrees): 5.917 5.917 16.200 90.00 90.00 90.00
Space group I4/mmm (No. 139)
Inequivalent atoms, fractional coordinates:
Hg  0.000  0.000  0.185 (multiplicity 4)
Hg  0.000  0.500  0.000 (multiplicity 4)
Bi  0.000  0.000  0.000 (multiplicity 2)
I  0.000  0.000  0.369 (multiplicity 4)

Entry 2
VASP calculation (PBE) on Hg4BiI2 after structural relaxation.

The value obtained for the mass density is 7.88 g/cm3. The calculation puts the density of states at the Fermi level at 2.05 states/eV/f.u. For the calculated volume, the calculation gives 267 Å³/cell.

Lattice parameters (Å, degrees): 6.183 6.765 7.280 94.67 100.33 115.22
Space group P-1 (No. 2)
Inequivalent atoms, fractional coordinates:
Hg  0.000  0.000  0.000 (multiplicity 1)
Hg  0.000  0.000  0.500 (multiplicity 1)
Hg  0.238  0.684  0.122 (multiplicity 2)
Bi  0.500  0.000  0.500 (multiplicity 1)
I  0.370  0.604  0.716 (multiplicity 2)

Most stable to least stable: entry 2, entry 1

Entry 1
VASP calculation (PBE) on HgBiIN2 after structural relaxation.

The value obtained for the mass density is 7.05 g/cm3. The calculation puts the density of states at the Fermi level at 3.64 states/eV/f.u. For the calculated volume, the calculation gives 133 Å³/cell.

Lattice parameters (Å, degrees): 4.517 4.517 6.520 90.00 90.00 90.00
Space group P4/mmm (No. 123)
Inequivalent atoms, fractional coordinates:
Hg  0.000  0.000  0.000 (multiplicity 1)
Bi  0.500  0.500  0.500 (multiplicity 1)
I  0.000  0.000  0.500 (multiplicity 1)
N  0.000  0.500  0.000 (multiplicity 2)

Entry 2
VASP calculation (PBE) on HgBiIN2 after structural relaxation.

The value obtained for the mass density is 6.44 g/cm3. The calculation puts the density of states at the Fermi level at 3.11 states/eV/f.u. For the calculated volume, the calculation gives 146 Å³/cell.

Lattice parameters (Å, degrees): 4.422 4.422 7.442 90.00 90.00 90.00
Space group P4/mmm (No. 123)
Inequivalent atoms, fractional coordinates:
Hg  0.000  0.000  0.000 (multiplicity 1)
Bi  0.500  0.500  0.500 (multiplicity 1)
I  0.500  0.500  0.000 (multiplicity 1)
N  0.000  0.500  0.500 (multiplicity 2)

Most stable to least stable: entry 2, entry 1